Cs3KCl4: optimized geometry, GGA-PBE.

Geometry as POSCAR:
```
Cs3KCl4
1.0
4.889 0.000 0.000
0.000 8.445 -0.056
0.000 -2.716 7.997
K Cs Cl
1 3 4
direct
0.500 0.000 0.000
0.500 0.500 0.500
0.000 0.500 0.000
0.000 0.000 0.500
0.500 0.760 0.240
0.000 0.234 0.234
0.500 0.240 0.760
0.000 0.766 0.766
```

Results
N(E_F), states/eV/atom: 0.0000
Uncorrected energy, eV per atom: -3.3311
Energy relative to the elements, uncorrected, meV per atom: -1951